This record from Alexandria describes TaZn2Se after structural relaxation. The functional is GGA-PBE.

Cell lengths 2.9049, 2.9049, 8.6338 Å; angles 90.00, 90.00, 104.01 degrees
Fractional positions:
Ta1 0.0000 0.0000 0.0000
Zn1 0.5000 0.5000 0.2372
Zn2 0.5000 0.5000 0.7628
Se1 0.0000 0.0000 0.5000

Output
Its space group is Cmmm, No. 65. The value obtained for the formation energy without anion corrections is 71 kJ/mol of formula units.

=====

This record from Alexandria describes InGe2CS after structural relaxation. The functional is GGA-PBE.

Cell lengths 4.2645, 4.2645, 5.2497 Å; angles 90.00, 90.00, 90.00 degrees
Fractional positions:
In1 0.0000 0.0000 0.0000
Ge1 0.0000 0.5000 0.5000
Ge2 0.5000 0.0000 0.5000
C1 0.0000 0.0000 0.5000
S1 0.5000 0.5000 0.0000

Output
Its space group is P4/mmm, No. 123. The value obtained for the formation energy without anion corrections is 412 kJ/mol of formula units. The calculation puts the energy above the most stable polymorph in this dataset at 0 meV/atom.